Record 1
# AcMg | the Alexandria database | PBE-GGA | optimized geometry
# Calculated density, g/cm³: 6.0
# Space-group type: Pm-3m
# DOS at the Fermi energy, states/eV/atom: 1.34
data_AcMg
_symmetry_space_group_name_H-M 'P 1'
_symmetry_Int_Tables_number 1
_cell_length_a 4.119
_cell_length_b 4.119
_cell_length_c 4.119
_cell_angle_alpha 90.00
_cell_angle_beta 90.00
_cell_angle_gamma 90.00
loop_
_symmetry_equiv_pos_as_xyz
'x,y,z'
loop_
_atom_site_label
_atom_site_fract_x
_atom_site_fract_y
_atom_site_fract_z
Ac1 0.000 0.000 0.000
Mg1 0.500 0.500 0.500

---

Record 2
# Y2HgO | the Alexandria database | PBE-GGA | optimized geometry
# Offset from the most stable computed form, kcal/mol of atoms: 24.26
# Calculated density, g/cm³: 7.5
# Space-group type: Fm-3m
# Raw formation energy, eV per atom: -0.59
# DOS at the Fermi energy, states/eV/atom: 1.52
data_Y2HgO
_symmetry_space_group_name_H-M 'P 1'
_symmetry_Int_Tables_number 1
_cell_length_a 4.970
_cell_length_b 4.970
_cell_length_c 4.970
_cell_angle_alpha 60.00
_cell_angle_beta 60.00
_cell_angle_gamma 60.00
loop_
_symmetry_equiv_pos_as_xyz
'x,y,z'
loop_
_atom_site_label
_atom_site_fract_x
_atom_site_fract_y
_atom_site_fract_z
Y1 0.250 0.250 0.250
Y2 0.750 0.750 0.750
Hg1 0.000 0.000 0.000
O1 0.500 0.500 0.500

---

Record 3
# FeHS2Cl | the Alexandria database | PBE-GGA | optimized geometry
# Offset from the most stable computed form, kcal/mol of atoms: 2.98
# Calculated density, g/cm³: 2.9
# Space-group type: P4/mmm
# DOS at the Fermi energy, states/eV/atom: 1.28
data_FeHS2Cl
_symmetry_space_group_name_H-M 'P 1'
_symmetry_Int_Tables_number 1
_cell_length_a 4.264
_cell_length_b 4.264
_cell_length_c 4.927
_cell_angle_alpha 90.00
_cell_angle_beta 90.00
_cell_angle_gamma 90.00
loop_
_symmetry_equiv_pos_as_xyz
'x,y,z'
loop_
_atom_site_label
_atom_site_fract_x
_atom_site_fract_y
_atom_site_fract_z
Fe1 0.000 0.000 0.000
H1 0.500 0.500 0.500
S1 0.000 0.500 0.000
S2 0.500 0.000 0.000
Cl1 0.000 0.000 0.500

---

Record 4
# HoEr3Hg2 | the Alexandria database | PBE-GGA | optimized geometry
# Offset from the most stable computed form, kcal/mol of atoms: 6.11
# Calculated density, g/cm³: 9.5
# Space-group type: Ibam
# DOS at the Fermi energy, states/eV/atom: 0.75
data_HoEr3Hg2
_symmetry_space_group_name_H-M 'P 1'
_symmetry_Int_Tables_number 1
_cell_length_a 8.795
_cell_length_b 8.795
_cell_length_c 8.795
_cell_angle_alpha 132.90
_cell_angle_beta 71.08
_cell_angle_gamma 130.06
loop_
_symmetry_equiv_pos_as_xyz
'x,y,z'
loop_
_atom_site_label
_atom_site_fract_x
_atom_site_fract_y
_atom_site_fract_z
Ho1 0.000 0.000 0.000
Ho2 0.500 0.500 0.000
Er1 0.022 0.250 0.772
Er2 0.250 0.750 0.500
Er3 0.478 0.250 0.228
Er4 0.522 0.750 0.772
Er5 0.750 0.250 0.500
Er6 0.978 0.750 0.228
Hg1 0.140 0.699 0.839
Hg2 0.360 0.199 0.559
Hg3 0.640 0.801 0.441
Hg4 0.860 0.301 0.161

---

Record 5
# Sc7I12Br | the Alexandria database | PBE-GGA | optimized geometry
# Calculated density, g/cm³: 4.8
# Space-group type: R-3
# Raw formation energy, eV per atom: -1.05
# DOS at the Fermi energy, states/eV/atom: 0.43
data_Sc7I12Br
_symmetry_space_group_name_H-M 'P 1'
_symmetry_Int_Tables_number 1
_cell_length_a 9.322
_cell_length_b 9.322
_cell_length_c 9.322
_cell_angle_alpha 107.80
_cell_angle_beta 107.80
_cell_angle_gamma 107.80
loop_
_symmetry_equiv_pos_as_xyz
'x,y,z'
loop_
_atom_site_label
_atom_site_fract_x
_atom_site_fract_y
_atom_site_fract_z
Sc1 0.000 0.000 0.000
Sc2 0.191 0.458 0.391
Sc3 0.391 0.191 0.458
Sc4 0.458 0.391 0.191
Sc5 0.542 0.609 0.809
Sc6 0.609 0.809 0.542
Sc7 0.809 0.542 0.609
I1 0.036 0.113 0.348
I2 0.113 0.348 0.036
I3 0.190 0.576 0.720
I4 0.280 0.810 0.424
I5 0.348 0.036 0.113
I6 0.424 0.280 0.810
I7 0.576 0.720 0.190
I8 0.652 0.964 0.887
I9 0.720 0.190 0.576
I10 0.810 0.424 0.280
I11 0.887 0.652 0.964
I12 0.964 0.887 0.652
Br1 0.500 0.500 0.500

---

Record 6
# Tm2CdAu6 | the Alexandria database | PBE-GGA | optimized geometry
# Offset from the most stable computed form, kcal/mol of atoms: 1.87
# Calculated density, g/cm³: 14.4
# Space-group type: C2/m
# DOS at the Fermi energy, states/eV/atom: 0.55
data_Tm2CdAu6
_symmetry_space_group_name_H-M 'P 1'
_symmetry_Int_Tables_number 1
_cell_length_a 5.668
_cell_length_b 5.668
_cell_length_c 5.872
_cell_angle_alpha 92.14
_cell_angle_beta 92.14
_cell_angle_gamma 89.02
loop_
_symmetry_equiv_pos_as_xyz
'x,y,z'
loop_
_atom_site_label
_atom_site_fract_x
_atom_site_fract_y
_atom_site_fract_z
Tm1 0.179 0.179 0.164
Tm2 0.821 0.821 0.836
Cd1 0.500 0.500 0.500
Au1 0.013 0.671 0.341
Au2 0.326 0.674 0.000
Au3 0.329 0.987 0.659
Au4 0.671 0.013 0.341
Au5 0.674 0.326 0.000
Au6 0.987 0.329 0.659

---

Record 7
# LiMnTe2 | the Alexandria database | PBE-GGA | optimized geometry
# Calculated density, g/cm³: 4.9
# Space-group type: Cmmm
# Raw formation energy, eV per atom: -0.22
# DOS at the Fermi energy, states/eV/atom: 0.40
data_LiMnTe2
_symmetry_space_group_name_H-M 'P 1'
_symmetry_Int_Tables_number 1
_cell_length_a 3.955
_cell_length_b 3.955
_cell_length_c 7.812
_cell_angle_alpha 90.00
_cell_angle_beta 90.00
_cell_angle_gamma 119.27
loop_
_symmetry_equiv_pos_as_xyz
'x,y,z'
loop_
_atom_site_label
_atom_site_fract_x
_atom_site_fract_y
_atom_site_fract_z
Li1 0.000 0.000 0.000
Mn1 0.000 0.000 0.500
Te1 0.500 0.500 0.265
Te2 0.500 0.500 0.735

---

Record 8
# Zn2GaCu8 | the Alexandria database | PBE-GGA | optimized geometry
# Offset from the most stable computed form, kcal/mol of atoms: 0.00
# Calculated density, g/cm³: 8.1
# Space-group type: Immm
# DOS at the Fermi energy, states/eV/atom: 0.22
data_Zn2GaCu8
_symmetry_space_group_name_H-M 'P 1'
_symmetry_Int_Tables_number 1
_cell_length_a 6.973
_cell_length_b 6.973
_cell_length_c 6.973
_cell_angle_alpha 152.04
_cell_angle_beta 111.94
_cell_angle_gamma 75.11
loop_
_symmetry_equiv_pos_as_xyz
'x,y,z'
loop_
_atom_site_label
_atom_site_fract_x
_atom_site_fract_y
_atom_site_fract_z
Zn1 0.139 0.139 0.000
Zn2 0.861 0.861 0.000
Ga1 0.500 0.500 0.000
Cu1 0.085 0.332 0.752
Cu2 0.259 0.000 0.259
Cu3 0.322 0.822 0.500
Cu4 0.420 0.668 0.752
Cu5 0.580 0.332 0.248
Cu6 0.678 0.178 0.500
Cu7 0.741 0.000 0.741
Cu8 0.915 0.668 0.248

---

Record 9
# TbY2Zn | the Alexandria database | PBE-GGA | optimized geometry
# Offset from the most stable computed form, kcal/mol of atoms: 0.00
# Calculated density, g/cm³: 6.0
# Space-group type: P4/mmm
# DOS at the Fermi energy, states/eV/atom: 1.15
data_TbY2Zn
_symmetry_space_group_name_H-M 'P 1'
_symmetry_Int_Tables_number 1
_cell_length_a 3.579
_cell_length_b 3.579
_cell_length_c 8.664
_cell_angle_alpha 90.00
_cell_angle_beta 90.00
_cell_angle_gamma 90.00
loop_
_symmetry_equiv_pos_as_xyz
'x,y,z'
loop_
_atom_site_label
_atom_site_fract_x
_atom_site_fract_y
_atom_site_fract_z
Tb1 0.000 0.000 0.000
Y1 0.500 0.500 0.294
Y2 0.500 0.500 0.706
Zn1 0.000 0.000 0.500

---

Record 10
# TiPd3Pt3 | the Alexandria database | PBE-GGA | optimized geometry
# Calculated density, g/cm³: 13.6
# Space-group type: Cmmm
# DOS at the Fermi energy, states/eV/atom: 0.83
data_TiPd3Pt3
_symmetry_space_group_name_H-M 'P 1'
_symmetry_Int_Tables_number 1
_cell_length_a 5.479
_cell_length_b 5.479
_cell_length_c 7.783
_cell_angle_alpha 90.00
_cell_angle_beta 90.00
_cell_angle_gamma 93.67
loop_
_symmetry_equiv_pos_as_xyz
'x,y,z'
loop_
_atom_site_label
_atom_site_fract_x
_atom_site_fract_y
_atom_site_fract_z
Ti1 0.227 0.773 0.000
Ti2 0.773 0.227 0.000
Pd1 0.251 0.749 0.500
Pd2 0.262 0.262 0.500
Pd3 0.300 0.300 0.000
Pd4 0.700 0.700 0.000
Pd5 0.738 0.738 0.500
Pd6 0.749 0.251 0.500
Pt1 0.000 0.000 0.242
Pt2 0.000 0.000 0.758
Pt3 0.000 0.500 0.238
Pt4 0.000 0.500 0.762
Pt5 0.500 0.000 0.238
Pt6 0.500 0.000 0.762

---

Record 11
# NaGe2SbSe6 | the Alexandria database | PBE-GGA | optimized geometry
# Calculated density, g/cm³: 4.5
# Space-group type: C2/c
# Raw formation energy, eV per atom: -0.35
data_NaGe2SbSe6
_symmetry_space_group_name_H-M 'P 1'
_symmetry_Int_Tables_number 1
_cell_length_a 9.037
_cell_length_b 9.037
_cell_length_c 7.547
_cell_angle_alpha 105.97
_cell_angle_beta 105.97
_cell_angle_gamma 79.17
loop_
_symmetry_equiv_pos_as_xyz
'x,y,z'
loop_
_atom_site_label
_atom_site_fract_x
_atom_site_fract_y
_atom_site_fract_z
Na1 0.143 0.857 0.750
Na2 0.857 0.143 0.250
Ge1 0.196 0.377 0.801
Ge2 0.377 0.196 0.301
Ge3 0.623 0.804 0.699
Ge4 0.804 0.623 0.199
Sb1 0.251 0.749 0.250
Sb2 0.749 0.251 0.750
Se1 0.021 0.181 0.648
Se2 0.063 0.627 0.881
Se3 0.181 0.021 0.148
Se4 0.317 0.411 0.561
Se5 0.373 0.937 0.619
Se6 0.411 0.317 0.061
Se7 0.589 0.683 0.939
Se8 0.627 0.063 0.381
Se9 0.683 0.589 0.439
Se10 0.819 0.979 0.852
Se11 0.937 0.373 0.119
Se12 0.979 0.819 0.352

---

Record 12
# NiP3 | the Alexandria database | PBE-GGA | optimized geometry
# Offset from the most stable computed form, kcal/mol of atoms: 6.57
# Calculated density, g/cm³: 4.7
# Space-group type: Im-3m
# DOS at the Fermi energy, states/eV/atom: 0.72
data_NiP3
_symmetry_space_group_name_H-M 'P 1'
_symmetry_Int_Tables_number 1
_cell_length_a 4.118
_cell_length_b 4.118
_cell_length_c 4.118
_cell_angle_alpha 109.47
_cell_angle_beta 109.47
_cell_angle_gamma 109.47
loop_
_symmetry_equiv_pos_as_xyz
'x,y,z'
loop_
_atom_site_label
_atom_site_fract_x
_atom_site_fract_y
_atom_site_fract_z
Ni1 0.000 0.000 0.000
P1 0.000 0.500 0.500
P2 0.500 0.000 0.500
P3 0.500 0.500 0.000

---

Record 13
# TlVP3 | the Alexandria database | PBE-GGA | optimized geometry
# Offset from the most stable computed form, kcal/mol of atoms: 34.32
# Calculated density, g/cm³: 4.5
# Space-group type: Pm-3m
# DOS at the Fermi energy, states/eV/atom: 1.76
data_TlVP3
_symmetry_space_group_name_H-M 'P 1'
_symmetry_Int_Tables_number 1
_cell_length_a 5.037
_cell_length_b 5.037
_cell_length_c 5.037
_cell_angle_alpha 90.00
_cell_angle_beta 90.00
_cell_angle_gamma 90.00
loop_
_symmetry_equiv_pos_as_xyz
'x,y,z'
loop_
_atom_site_label
_atom_site_fract_x
_atom_site_fract_y
_atom_site_fract_z
Tl1 0.000 0.000 0.000
V1 0.500 0.500 0.500
P1 0.000 0.000 0.500
P2 0.000 0.500 0.000
P3 0.500 0.000 0.000

---

Record 14
# Ba2AcErO4 | the Alexandria database | PBE-GGA | optimized geometry
# Calculated density, g/cm³: 8.0
# Space-group type: P2/m
# Raw formation energy, eV per atom: -2.66
# DOS at the Fermi energy, states/eV/atom: 0.32
data_Ba2AcErO4
_symmetry_space_group_name_H-M 'P 1'
_symmetry_Int_Tables_number 1
_cell_length_a 6.462
_cell_length_b 3.682
_cell_length_c 6.711
_cell_angle_alpha 90.00
_cell_angle_beta 108.25
_cell_angle_gamma 90.00
loop_
_symmetry_equiv_pos_as_xyz
'x,y,z'
loop_
_atom_site_label
_atom_site_fract_x
_atom_site_fract_y
_atom_site_fract_z
Ba1 0.000 0.000 0.000
Ba2 0.500 0.500 0.000
Ac1 0.000 0.500 0.500
Er1 0.500 0.000 0.500
O1 0.262 0.000 0.694
O2 0.295 0.500 0.314
O3 0.705 0.500 0.686
O4 0.738 0.000 0.306

---

Record 15
# Er6BiPt2Se3 | the Alexandria database | PBE-GGA | optimized geometry
# Calculated density, g/cm³: 10.1
# Space-group type: C2/m
# Raw formation energy, eV per atom: -1.38
# DOS at the Fermi energy, states/eV/atom: 0.61
data_Er6BiPt2Se3
_symmetry_space_group_name_H-M 'P 1'
_symmetry_Int_Tables_number 1
_cell_length_a 9.387
_cell_length_b 9.387
_cell_length_c 8.469
_cell_angle_alpha 105.96
_cell_angle_beta 105.96
_cell_angle_gamma 25.04
loop_
_symmetry_equiv_pos_as_xyz
'x,y,z'
loop_
_atom_site_label
_atom_site_fract_x
_atom_site_fract_y
_atom_site_fract_z
Er1 0.010 0.010 0.269
Er2 0.324 0.324 0.881
Er3 0.330 0.330 0.421
Er4 0.670 0.670 0.579
Er5 0.676 0.676 0.119
Er6 0.990 0.990 0.731
Bi1 0.500 0.500 0.000
Pt1 0.171 0.171 0.348
Pt2 0.829 0.829 0.652
Se1 0.160 0.160 0.844
Se2 0.500 0.500 0.500
Se3 0.840 0.840 0.156

---

Record 16
# Hf2Zr2V | the Alexandria database | PBE-GGA | optimized geometry
# Calculated density, g/cm³: 9.0
# Space-group type: P4/mbm
# DOS at the Fermi energy, states/eV/atom: 1.28
data_Hf2Zr2V
_symmetry_space_group_name_H-M 'P 1'
_symmetry_Int_Tables_number 1
_cell_length_a 6.760
_cell_length_b 6.760
_cell_length_c 4.779
_cell_angle_alpha 90.00
_cell_angle_beta 90.00
_cell_angle_gamma 90.00
loop_
_symmetry_equiv_pos_as_xyz
'x,y,z'
loop_
_atom_site_label
_atom_site_fract_x
_atom_site_fract_y
_atom_site_fract_z
Hf1 0.153 0.347 0.000
Hf2 0.347 0.847 0.000
Hf3 0.653 0.153 0.000
Hf4 0.847 0.653 0.000
Zr1 0.159 0.659 0.500
Zr2 0.341 0.159 0.500
Zr3 0.659 0.841 0.500
Zr4 0.841 0.341 0.500
V1 0.000 0.000 0.000
V2 0.500 0.500 0.000

---

Record 17
# In2AgPOs | the Alexandria database | PBE-GGA | optimized geometry
# Calculated density, g/cm³: 7.3
# Space-group type: P4/mmm
# DOS at the Fermi energy, states/eV/atom: 0.99
data_In2AgPOs
_symmetry_space_group_name_H-M 'P 1'
_symmetry_Int_Tables_number 1
_cell_length_a 5.277
_cell_length_b 5.277
_cell_length_c 4.570
_cell_angle_alpha 90.00
_cell_angle_beta 90.00
_cell_angle_gamma 90.00
loop_
_symmetry_equiv_pos_as_xyz
'x,y,z'
loop_
_atom_site_label
_atom_site_fract_x
_atom_site_fract_y
_atom_site_fract_z
In1 0.000 0.500 0.000
In2 0.500 0.000 0.000
Ag1 0.000 0.000 0.000
P1 0.000 0.000 0.500
Os1 0.500 0.500 0.500

---

Record 18
# Nd2ThNpAs4 | the Alexandria database | PBE-GGA | optimized geometry
# Calculated density, g/cm³: 8.2
# Space-group type: P2/m
# DOS at the Fermi energy, states/eV/atom: 1.62
data_Nd2ThNpAs4
_symmetry_space_group_name_H-M 'P 1'
_symmetry_Int_Tables_number 1
_cell_length_a 7.317
_cell_length_b 4.227
_cell_length_c 7.343
_cell_angle_alpha 90.00
_cell_angle_beta 109.42
_cell_angle_gamma 90.00
loop_
_symmetry_equiv_pos_as_xyz
'x,y,z'
loop_
_atom_site_label
_atom_site_fract_x
_atom_site_fract_y
_atom_site_fract_z
Nd1 0.000 0.000 0.000
Nd2 0.500 0.500 0.000
Th1 0.000 0.500 0.500
Np1 0.500 0.000 0.500
As1 0.252 0.000 0.744
As2 0.257 0.500 0.259
As3 0.743 0.500 0.741
As4 0.748 0.000 0.256

---

Record 19
# Zr2MnP | the Alexandria database | PBE-GGA | optimized geometry
# Calculated density, g/cm³: 6.5
# Space-group type: P4/mmm
# DOS at the Fermi energy, states/eV/atom: 0.74
data_Zr2MnP
_symmetry_space_group_name_H-M 'P 1'
_symmetry_Int_Tables_number 1
_cell_length_a 3.397
_cell_length_b 3.397
_cell_length_c 5.921
_cell_angle_alpha 90.00
_cell_angle_beta 90.00
_cell_angle_gamma 90.00
loop_
_symmetry_equiv_pos_as_xyz
'x,y,z'
loop_
_atom_site_label
_atom_site_fract_x
_atom_site_fract_y
_atom_site_fract_z
Zr1 0.000 0.000 0.245
Zr2 0.000 0.000 0.755
Mn1 0.500 0.500 0.500
P1 0.500 0.500 0.000

---

Record 20
# NdDyAl | the Alexandria database | PBE-GGA | optimized geometry
# Offset from the most stable computed form, kcal/mol of atoms: 0.00
# Calculated density, g/cm³: 6.7
# Space-group type: P6_3/mmc
# DOS at the Fermi energy, states/eV/atom: 1.33
data_NdDyAl
_symmetry_space_group_name_H-M 'P 1'
_symmetry_Int_Tables_number 1
_cell_length_a 5.350
_cell_length_b 5.350
_cell_length_c 6.713
_cell_angle_alpha 90.00
_cell_angle_beta 90.00
_cell_angle_gamma 120.00
loop_
_symmetry_equiv_pos_as_xyz
'x,y,z'
loop_
_atom_site_label
_atom_site_fract_x
_atom_site_fract_y
_atom_site_fract_z
Nd1 0.000 0.000 0.000
Nd2 0.000 0.000 0.500
Dy1 0.333 0.667 0.250
Dy2 0.667 0.333 0.750
Al1 0.333 0.667 0.750
Al2 0.667 0.333 0.250

---

In Ha/atom, the energy values for the records above are, in order, -0.1077 -0.1888 -0.1348 -0.1193 -0.1572 -0.1399 -0.1677 -0.1286 -0.1791 -0.2299 -0.1436 -0.2028 -0.1417 -0.2464 -0.2154 -0.3253 -0.1274 -0.2700 -0.3090 -0.1689.